No. 1
Density functional theory data (PBE) for Ac4IrSe2N after structural relaxation.

ΔE_f (raw) (eV/atom): -1.32
N(E_F) (states/eV/cell): 4.34

a b c (Å): 7.2554 4.2936 7.7589
angles (deg): 90.00 107.12 90.00
Space group P2/m (No. 10)
Inequivalent atoms, fractional coordinates:
Ac: 0.2355 0.0000 0.2892 (multiplicity 2)
Ac: 0.2376 0.5000 0.7158 (multiplicity 2)
Ir: 0.5000 0.5000 0.5000 (multiplicity 1)
Se: 0.0000 0.5000 0.0000 (multiplicity 1)
Se: 0.5000 0.0000 0.0000 (multiplicity 1)
N: 0.0000 0.0000 0.5000 (multiplicity 1)

---

No. 2
Density functional theory data (PBE) for LiPu2Pd5 after structural relaxation.

Formation energy from the elements (eV per atom): -0.491
N(E_F) (states/eV/cell): 55.18

a b c (Å): 5.9800 5.9800 8.0274
angles (deg): 90.00 90.00 90.00
Space group I4mm (No. 107)
Inequivalent atoms, fractional coordinates:
Li: 0.0000 0.0000 0.0000 (multiplicity 2)
Pu: 0.0000 0.5000 0.4975 (multiplicity 4)
Pd: 0.0000 0.0000 0.4971 (multiplicity 2)
Pd: 0.2504 0.2504 0.2476 (multiplicity 8)

---

No. 3
Density functional theory data (PBE) for TcMo2Ir after structural relaxation.

Formation energy from the elements (eV per atom): -0.015
N(E_F) (states/eV/cell): 7.49

a b c (Å): 9.2256 2.7622 4.8359
angles (deg): 90.00 99.80 90.00
Space group C2/m (No. 12)
Inequivalent atoms, fractional coordinates:
Tc: 0.0000 0.0000 0.0000 (multiplicity 2)
Mo: 0.2467 0.0000 0.7459 (multiplicity 4)
Ir: 0.0000 0.5000 0.5000 (multiplicity 2)

---

No. 4
Density functional theory data (PBE) for NiSbTe2C after structural relaxation.

ΔE_f (raw) (eV/atom): 1.56
N(E_F) (states/eV/cell): 4.84

a b c (Å): 5.0794 5.0794 4.8118
angles (deg): 90.00 90.00 90.00
Space group P4/mmm (No. 123)
Inequivalent atoms, fractional coordinates:
Ni: 0.0000 0.0000 0.0000 (multiplicity 1)
Sb: 0.0000 0.0000 0.5000 (multiplicity 1)
Te: 0.0000 0.5000 0.0000 (multiplicity 2)
C: 0.5000 0.5000 0.5000 (multiplicity 1)

---

No. 5
Density functional theory data (PBE) for Rb2MnSe2 after structural relaxation.

ΔE_f (raw) (eV/atom): -0.93

a b c (Å): 7.3667 13.8869 6.6993
angles (deg): 90.00 90.00 90.00
Space group Ibam (No. 72)
Inequivalent atoms, fractional coordinates:
Rb: 0.1674 0.1462 0.0000 (multiplicity 8)
Mn: 0.0000 0.5000 0.2500 (multiplicity 4)
Se: 0.1858 0.3991 0.0000 (multiplicity 8)

---

No. 6
Density functional theory data (PBE) for CrSb2P after structural relaxation.

ΔE_f (raw) (eV/atom): 0.45
N(E_F) (states/eV/cell): 5.23

a b c (Å): 6.3452 7.4795 3.4882
angles (deg): 90.00 90.00 90.00
Space group Cmmm (No. 65)
Inequivalent atoms, fractional coordinates:
Cr: 0.0000 0.0000 0.0000 (multiplicity 2)
Sb: 0.2500 0.2500 0.5000 (multiplicity 4)
P: 0.0000 0.5000 0.0000 (multiplicity 2)

---

No. 7
Density functional theory data (PBE) for Ba3YPb after structural relaxation.

Formation energy from the elements (eV per atom): 0.575
N(E_F) (states/eV/cell): 10.14

a b c (Å): 6.4037 6.4037 6.4037
angles (deg): 90.00 90.00 90.00
Space group Pm-3m (No. 221)
Inequivalent atoms, fractional coordinates:
Ba: 0.0000 0.0000 0.5000 (multiplicity 3)
Y: 0.0000 0.0000 0.0000 (multiplicity 1)
Pb: 0.5000 0.5000 0.5000 (multiplicity 1)

---

No. 8
Density functional theory data (PBE) for SmFeMoP2 after structural relaxation.

Formation energy from the elements (eV per atom): -0.769
N(E_F) (states/eV/cell): 7.88

a b c (Å): 4.0138 4.0138 10.1816
angles (deg): 90.00 90.00 90.00
Space group I-4m2 (No. 119)
Inequivalent atoms, fractional coordinates:
Sm: 0.0000 0.0000 0.0000 (multiplicity 2)
Fe: 0.0000 0.5000 0.2500 (multiplicity 2)
Mo: 0.0000 0.5000 0.7500 (multiplicity 2)
P: 0.0000 0.0000 0.3687 (multiplicity 4)

---

No. 9
Density functional theory data (PBE) for AcThSb3 after structural relaxation.

ΔE_f (raw) (eV/atom): -0.17
N(E_F) (states/eV/cell): 3.62

a b c (Å): 5.9314 5.9314 5.9314
angles (deg): 90.00 90.00 90.00
Space group Pm-3m (No. 221)
Inequivalent atoms, fractional coordinates:
Ac: 0.0000 0.0000 0.0000 (multiplicity 1)
Th: 0.5000 0.5000 0.5000 (multiplicity 1)
Sb: 0.0000 0.5000 0.5000 (multiplicity 3)

---

No. 10
Density functional theory data (PBE) for ReNi2As after structural relaxation.

Formation energy from the elements (eV per atom): 0.121
N(E_F) (states/eV/cell): 3.52

a b c (Å): 2.7473 3.7343 5.1263
angles (deg): 90.00 90.30 90.00
Space group P2/m (No. 10)
Inequivalent atoms, fractional coordinates:
Re: 0.0000 0.0000 0.0000 (multiplicity 1)
Ni: 0.4964 0.5000 0.7606 (multiplicity 2)
As: 0.0000 0.0000 0.5000 (multiplicity 1)

---

No. 11
Density functional theory data (PBE) for KCaHg after structural relaxation.

Formation energy from the elements (eV per atom): -0.073
N(E_F) (states/eV/cell): 9.41

a b c (Å): 7.9200 7.9200 7.9200
angles (deg): 90.00 90.00 90.00
Space group F-43m (No. 216)
Inequivalent atoms, fractional coordinates:
K: 0.0000 0.0000 0.0000 (multiplicity 4)
Ca: 0.0000 0.0000 0.5000 (multiplicity 4)
Hg: 0.2500 0.2500 0.7500 (multiplicity 4)

---

No. 12
Density functional theory data (PBE) for NbCd2H after structural relaxation.

N(E_F) (states/eV/cell): 8.16
Uncorrected energy (eV/atom): -2.714

a b c (Å): 6.6303 6.6303 6.6303
angles (deg): 90.00 90.00 90.00
Space group Fm-3m (No. 225)
Inequivalent atoms, fractional coordinates:
Nb: 0.0000 0.0000 0.0000 (multiplicity 4)
Cd: 0.2500 0.2500 0.2500 (multiplicity 8)
H: 0.0000 0.0000 0.5000 (multiplicity 4)

---

One value per record, in order, for theoretical density: 9.1 11.9 13.2 6.0 3.7 6.5 4.5 7.4 6.6 12.0 3.7 7.3 g/cm³.